# 1
A plane-wave DFT calculation with PBE was carried out for CaPOs2 after structural relaxation.

a b c (Å): 3.8221 3.8221 4.4753
angles (deg): 90.00 90.00 90.00
Closest atoms and distances in Å follow each position.
Atoms (fractional coordinates):
1 Ca 0.0000 0.0000 0.0000  4 P 2.70, 8 Os 2.94
2 P 0.5000 0.5000 0.0000  4 Ca 2.70, 8 Os 2.94
3 Os 0.0000 0.5000 0.5000  4 Os 2.70, 4 Ca 2.94, 4 P 2.94
4 Os 0.5000 0.0000 0.5000  4 Os 2.70, 4 Ca 2.94, 4 P 2.94

Summary:
formation energy from the elements	551	meV per atom
theoretical density	11.47	g/cm³

---

# 2
A plane-wave DFT calculation with PBE was carried out for YZrMn after structural relaxation.

a b c (Å): 6.8100 5.7606 8.8653
angles (deg): 90.00 126.49 90.00
Closest atoms and distances in Å follow each position.
Atoms (fractional coordinates):
1 Y 0.1978 0.1163 0.4115  3 Mn 2.87-3.10
2 Y 0.1978 0.3837 0.9115  3 Mn 2.87-3.10
3 Y 0.8022 0.6163 0.0885  3 Mn 2.87-3.10
4 Y 0.8022 0.8837 0.5885  3 Mn 2.87-3.10
5 Zr 0.3186 0.6138 0.6291  3 Mn 2.50-2.58
6 Zr 0.3186 0.8862 0.1291  3 Mn 2.50-2.58
7 Zr 0.6814 0.1138 0.8709  3 Mn 2.50-2.58
8 Zr 0.6814 0.3862 0.3709  3 Mn 2.50-2.58
9 Mn 0.3257 0.5957 0.3425  3 Zr 2.50-2.58, 1 Mn 2.60
10 Mn 0.3257 0.9043 0.8425  3 Zr 2.50-2.58, 1 Mn 2.60
11 Mn 0.6743 0.0957 0.1575  3 Zr 2.50-2.58, 1 Mn 2.60
12 Mn 0.6743 0.4043 0.6575  3 Zr 2.50-2.58, 1 Mn 2.60

Summary:
formation energy from the elements	223	meV per atom
excess energy over the best structure of this formula in the dataset	0.0921	eV/atom
theoretical density	5.58	g/cm³

---

# 3
A plane-wave DFT calculation with PBE was carried out for CaTePt2 after structural relaxation.

a b c (Å): 5.2753 5.2753 4.5678
angles (deg): 115.47 115.47 45.85
Closest atoms and distances in Å follow each position.
Atoms (fractional coordinates):
1 Ca 0.0000 0.0000 0.0000  8 Pt 3.03-3.08, 4 Te 3.07
2 Te 0.5000 0.5000 0.5000  4 Pt 2.86, 4 Ca 3.07
3 Pt 0.2323 0.2323 0.7306  2 Te 2.86, 4 Ca 3.03-3.08, 4 Pt 3.07-3.10
4 Pt 0.7677 0.7677 0.2694  2 Te 2.86, 4 Ca 3.03-3.08, 4 Pt 3.07-3.10

Summary:
formation energy (no corrections)	-0.502	eV/atom
theoretical density	11.48	g/cm³

---

# 4
A plane-wave DFT calculation with PBE was carried out for OsPt2Rh3 after structural relaxation.

a b c (Å): 2.7327 2.7327 11.7825
angles (deg): 90.00 90.00 90.00
Closest atoms and distances in Å follow each position.
Atoms (fractional coordinates):
1 Os 0.0000 0.0000 0.0000  8 Rh 2.68, 4 Os 2.73
2 Pt 0.0000 0.0000 0.3317  4 Pt 2.73, 8 Rh 2.77-2.81
3 Pt 0.0000 0.0000 0.6683  4 Pt 2.73, 8 Rh 2.77-2.81
4 Rh 0.5000 0.5000 0.1581  4 Os 2.68, 4 Rh 2.73, 4 Pt 2.81
5 Rh 0.5000 0.5000 0.5000  4 Rh 2.73, 8 Pt 2.77
6 Rh 0.5000 0.5000 0.8419  4 Os 2.68, 4 Rh 2.73, 4 Pt 2.81

Summary:
formation energy from the elements	-28	meV per atom
excess energy over the best structure of this formula in the dataset	0.0000	eV/atom
theoretical density	16.78	g/cm³

---

> Which value of theoretical density does entry 3 give?

11.48 g/cm³